[1]
## TaBiTe2 (PBE)

Data for crystalline TaBiTe2 at its relaxed geometry.

abc: 13.462 13.462 13.462
angles: 13.60 13.60 13.60
Fractional positions:
1 Ta 0.000 0.000 0.000
2 Bi 0.500 0.500 0.500
3 Te 0.071 0.071 0.071
4 Te 0.929 0.929 0.929

- Space group: R-3m (166)
- Total moment: 0.0000 μB per atom
- Formation energy without anion corrections: 570 meV/atom

---

[2]
## Zr3P (PBE)

Data for crystalline Zr3P at its relaxed geometry.

abc: 5.872 5.872 4.851
angles: 90.00 90.00 111.41
Fractional positions:
1 Zr 0.128 0.872 0.750
2 Zr 0.171 0.384 0.750
3 Zr 0.384 0.171 0.250
4 Zr 0.616 0.829 0.750
5 Zr 0.829 0.616 0.250
6 Zr 0.872 0.128 0.250
7 P 0.331 0.669 0.250
8 P 0.669 0.331 0.750

- Space group: Cmcm (63)
- Total moment: 0.0000 μB per atom
- Energy of formation: -10.58 kcal/mol of atoms

---

[3]
## TmPd5Au2 (PBE)

Data for crystalline TmPd5Au2 at its relaxed geometry.

abc: 8.577 8.577 8.577
angles: 152.37 152.37 39.48
Fractional positions:
1 Tm 0.000 0.000 0.000
2 Pd 0.125 0.625 0.500
3 Pd 0.375 0.875 0.500
4 Pd 0.500 0.500 0.000
5 Pd 0.625 0.125 0.500
6 Pd 0.875 0.375 0.500
7 Au 0.251 0.251 0.000
8 Au 0.749 0.749 0.000

- Space group: I4/mmm (139)
- Total moment: 0.0000 μB per atom
- Energy of formation: -11.48 kcal/mol of atoms

---

[4]
## ErPuGaRh (PBE)

Data for crystalline ErPuGaRh at its relaxed geometry.

abc: 4.942 4.942 4.942
angles: 60.00 60.00 60.00
Fractional positions:
1 Er 0.000 0.000 0.000
2 Pu 0.500 0.500 0.500
3 Ga 0.750 0.750 0.750
4 Rh 0.250 0.250 0.250

- Space group: F-43m (216)
- Total moment: 1.2934 μB per atom
- Energy of formation: -10.89 kcal/mol of atoms

---

[5]
## BeZnCdCuIr (PBE)

Data for crystalline BeZnCdCuIr at its relaxed geometry.

abc: 4.743 4.743 6.782
angles: 127.77 127.77 36.75
Fractional positions:
1 Be 0.000 0.000 0.000
2 Zn 0.558 0.558 0.334
3 Cd 0.408 0.408 0.580
4 Cu 0.244 0.244 0.800
5 Ir 0.738 0.738 0.116

- Space group: Cm (8)
- Total moment: 0.0000 μB per atom
- Energy of formation: -1.07 kcal/mol of atoms

---

[6]
## Cu5Se3Br12 (PBE)

Data for crystalline Cu5Se3Br12 at its relaxed geometry.

abc: 14.226 14.226 14.226
angles: 109.47 109.47 109.47
Fractional positions:
1 Cu 0.000 0.000 0.000
2 Cu 0.000 0.000 0.500
3 Cu 0.000 0.500 0.000
4 Cu 0.000 0.500 0.500
5 Cu 0.125 0.750 0.875
6 Cu 0.125 0.875 0.250
7 Cu 0.250 0.125 0.875
8 Cu 0.250 0.625 0.375
9 Cu 0.375 0.250 0.625
10 Cu 0.375 0.625 0.750
11 Cu 0.500 0.000 0.000
12 Cu 0.500 0.000 0.500
13 Cu 0.500 0.500 0.000
14 Cu 0.500 0.500 0.500
15 Cu 0.625 0.375 0.250
16 Cu 0.625 0.750 0.375
17 Cu 0.750 0.375 0.625
18 Cu 0.750 0.875 0.125
19 Cu 0.875 0.125 0.750
20 Cu 0.875 0.250 0.125
21 Se 0.125 0.250 0.375
22 Se 0.125 0.375 0.750
23 Se 0.250 0.375 0.125
24 Se 0.250 0.875 0.625
25 Se 0.375 0.125 0.250
26 Se 0.375 0.750 0.125
27 Se 0.625 0.250 0.875
28 Se 0.625 0.875 0.750
29 Se 0.750 0.125 0.375
30 Se 0.750 0.625 0.875
31 Se 0.875 0.625 0.250
32 Se 0.875 0.750 0.625
33 Br 0.016 0.188 0.138
34 Br 0.016 0.329 0.879
35 Br 0.050 0.688 0.671
36 Br 0.050 0.862 0.379
37 Br 0.121 0.638 0.450
38 Br 0.121 0.984 0.671
39 Br 0.138 0.016 0.188
40 Br 0.138 0.621 0.950
41 Br 0.171 0.188 0.550
42 Br 0.171 0.484 0.621
43 Br 0.188 0.138 0.016
44 Br 0.188 0.550 0.171
45 Br 0.312 0.329 0.950
46 Br 0.312 0.484 0.362
47 Br 0.329 0.879 0.016
48 Br 0.329 0.950 0.312
49 Br 0.362 0.312 0.484
50 Br 0.362 0.550 0.879
51 Br 0.379 0.050 0.862
52 Br 0.379 0.829 0.516
53 Br 0.450 0.121 0.638
54 Br 0.450 0.829 0.812
55 Br 0.484 0.362 0.312
56 Br 0.484 0.621 0.171
57 Br 0.516 0.379 0.829
58 Br 0.516 0.638 0.688
59 Br 0.550 0.171 0.188
60 Br 0.550 0.879 0.362
61 Br 0.621 0.171 0.484
62 Br 0.621 0.950 0.138
63 Br 0.638 0.450 0.121
64 Br 0.638 0.688 0.516
65 Br 0.671 0.050 0.688
66 Br 0.671 0.121 0.984
67 Br 0.688 0.516 0.638
68 Br 0.688 0.671 0.050
69 Br 0.812 0.450 0.829
70 Br 0.812 0.862 0.984
71 Br 0.829 0.516 0.379
72 Br 0.829 0.812 0.450
73 Br 0.862 0.379 0.050
74 Br 0.862 0.984 0.812
75 Br 0.879 0.016 0.329
76 Br 0.879 0.362 0.550
77 Br 0.950 0.138 0.621
78 Br 0.950 0.312 0.329
79 Br 0.984 0.671 0.121
80 Br 0.984 0.812 0.862

- Space group: Ia-3d (230)
- Total moment: 0.1261 μB per atom
- Formation energy without anion corrections: 35 meV/atom